--- 1 ---
{"formula": "Zr2AlGa2", "functional": "PBEsol", "state": "relaxed", "cell": [[6.6798, 0.0000, 0.0000], [0.0000, 6.6798, 0.0000], [0.0000, 0.0000, 4.0051]], "species": ["Zr", "Zr", "Zr", "Zr", "Al", "Al", "Ga", "Ga", "Ga", "Ga"], "fractional_positions": [[0.1761, 0.3239, 0.0000], [0.3239, 0.8239, 0.0000], [0.6761, 0.1761, 0.0000], [0.8239, 0.6761, 0.0000], [0.0000, 0.0000, 0.5000], [0.5000, 0.5000, 0.5000], [0.1281, 0.6281, 0.5000], [0.3719, 0.1281, 0.5000], [0.6281, 0.8719, 0.5000], [0.8719, 0.3719, 0.5000]], "total_magnetization_mub_per_cell": 0.00, "sg": "No. 127"}


--- 2 ---
{"formula": "Zr2AlGa2", "functional": "PBEsol", "state": "relaxed", "cell": [[-2.1411, 2.1411, 5.6688], [2.1411, -2.1411, 5.6688], [2.1411, 2.1411, -5.6688]], "species": ["Zr", "Zr", "Al", "Ga", "Ga"], "fractional_positions": [[0.2500, 0.7500, 0.5000], [0.7500, 0.2500, 0.5000], [0.0000, 0.0000, 0.0000], [0.3990, 0.3990, 0.0000], [0.6010, 0.6010, 0.0000]], "total_magnetization_mub_per_cell": 0.00, "sg": "No. 139"}


Relative energy of each structure, in meV/atom: 1 0; 2 691.


--- 1 ---
{"formula": "HfAl2H", "functional": "PBEsol", "state": "relaxed", "cell": [[0.0000, 3.1870, 3.1870], [3.1870, 0.0000, 3.1870], [3.1870, 3.1870, 0.0000]], "species": ["Hf", "Al", "Al", "H"], "fractional_positions": [[0.0000, 0.0000, 0.0000], [0.2500, 0.2500, 0.2500], [0.7500, 0.7500, 0.7500], [0.5000, 0.5000, 0.5000]], "total_magnetization_mub_per_cell": 0.00, "sg": "No. 225"}


--- 2 ---
{"formula": "HfAl2H", "functional": "PBEsol", "state": "relaxed", "cell": [[-2.6991, 2.6991, 3.7961], [2.6991, -2.6991, 3.7961], [2.6991, 2.6991, -3.7961]], "species": ["Hf", "Hf", "Al", "Al", "Al", "Al", "H", "H"], "fractional_positions": [[0.0000, 0.0000, 0.0000], [0.7500, 0.2500, 0.5000], [0.3493, 0.1250, 0.7243], [0.3750, 0.6507, 0.7757], [0.4007, 0.6250, 0.2757], [0.8750, 0.5993, 0.2243], [0.2500, 0.7500, 0.5000], [0.5000, 0.5000, 0.0000]], "total_magnetization_mub_per_cell": 0.00, "sg": "No. 122"}


Relative energy of each structure, in meV/atom: 1 640; 2 0.


--- 1 ---
{"formula": "AlHg2H2", "functional": "PBEsol", "state": "relaxed", "cell": [[-1.6407, 1.6407, 6.5478], [1.6407, -1.6407, 6.5478], [1.6407, 1.6407, -6.5478]], "species": ["Al", "Hg", "Hg", "H", "H"], "fractional_positions": [[0.0000, 0.0000, 0.0000], [0.3605, 0.3605, 0.0000], [0.6395, 0.6395, 0.0000], [0.2500, 0.7500, 0.5000], [0.7500, 0.2500, 0.5000]], "total_magnetization_mub_per_cell": 0.00, "sg": "No. 139"}


--- 2 ---
{"formula": "AlHg2H2", "functional": "PBEsol", "state": "relaxed", "cell": [[6.9086, 0.0000, 0.0000], [0.0000, 6.9086, 0.0000], [0.0000, 0.0000, 3.7375]], "species": ["Al", "Al", "Hg", "Hg", "Hg", "Hg", "H", "H", "H", "H"], "fractional_positions": [[0.0000, 0.0000, 0.0000], [0.5000, 0.5000, 0.0000], [0.1536, 0.3464, 0.0000], [0.3464, 0.8464, 0.0000], [0.6536, 0.1536, 0.0000], [0.8464, 0.6536, 0.0000], [0.1541, 0.3459, 0.5000], [0.3459, 0.8459, 0.5000], [0.6541, 0.1541, 0.5000], [0.8459, 0.6541, 0.5000]], "total_magnetization_mub_per_cell": 0.00, "sg": "No. 127"}


Relative energy of each structure, in meV/atom: 1 19; 2 0.


--- 1 ---
{"formula": "LiMn3Al2H6O12", "functional": "PBEsol", "state": "relaxed", "cell": [[5.7560, 0.0000, 0.0000], [1.4442, 7.4648, 0.0000], [2.8701, 1.6124, 9.3627]], "species": ["Li", "Li", "Mn", "Mn", "Mn", "Mn", "Mn", "Mn", "Al", "Al", "Al", "Al", "H", "H", "H", "H", "H", "H", "H", "H", "H", "H", "H", "H", "O", "O", "O", "O", "O", "O", "O", "O", "O", "O", "O", "O", "O", "O", "O", "O", "O", "O", "O", "O", "O", "O", "O", "O"], "fractional_positions": [[0.1587, 0.3444, 0.4990], [0.8413, 0.6556, 0.5010], [0.0000, 0.0000, 0.0000], [0.1663, 0.3328, 0.0013], [0.3339, 0.6671, 0.9988], [0.5000, 0.0000, 0.0000], [0.6661, 0.3329, 0.0012], [0.8337, 0.6672, 0.9987], [0.0000, 0.0000, 0.5000], [0.3286, 0.6589, 0.5023], [0.5000, 0.0000, 0.5000], [0.6714, 0.3411, 0.4977], [0.0342, 0.5137, 0.7146], [0.1619, 0.8298, 0.2912], [0.1803, 0.8440, 0.7159], [0.3160, 0.1471, 0.2911], [0.3681, 0.1755, 0.7047], [0.4947, 0.4994, 0.2865], [0.5053, 0.5006, 0.7135], [0.6319, 0.8245, 0.2953], [0.6840, 0.8529, 0.7089], [0.8197, 0.1560, 0.2841], [0.8381, 0.1702, 0.7088], [0.9658, 0.4863, 0.2854], [0.0659, 0.5354, 0.1004], [0.0738, 0.5443, 0.6103], [0.1024, 0.8015, 0.8939], [0.1136, 0.8076, 0.3968], [0.2301, 0.8702, 0.6087], [0.2325, 0.8665, 0.1028], [0.2681, 0.1335, 0.8971], [0.2717, 0.1194, 0.3967], [0.3983, 0.1988, 0.1046], [0.4180, 0.1944, 0.5993], [0.4347, 0.4650, 0.8974], [0.4497, 0.4749, 0.3921], [0.5503, 0.5251, 0.6079], [0.5653, 0.5350, 0.1026], [0.5820, 0.8056, 0.4007], [0.6017, 0.8012, 0.8954], [0.7283, 0.8806, 0.6033], [0.7319, 0.8665, 0.1029], [0.7675, 0.1335, 0.8972], [0.7699, 0.1298, 0.3913], [0.8864, 0.1924, 0.6032], [0.8976, 0.1985, 0.1061], [0.9262, 0.4557, 0.3897], [0.9341, 0.4646, 0.8996]], "total_magnetization_mub_per_cell": 16.00, "sg": "No. 2"}


--- 2 ---
{"formula": "LiMn3Al2H6O12", "functional": "PBEsol", "state": "relaxed", "cell": [[2.4913, -4.3147, 0.0000], [2.4913, 4.3147, 0.0000], [-1.6612, 0.0000, 9.3691]], "species": ["Li", "Mn", "Mn", "Mn", "Al", "Al", "H", "H", "H", "H", "H", "H", "O", "O", "O", "O", "O", "O", "O", "O", "O", "O", "O", "O"], "fractional_positions": [[0.0000, 0.0000, 0.0000], [0.1666, 0.8334, 0.5000], [0.5000, 0.5000, 0.5000], [0.8334, 0.1666, 0.5000], [0.3333, 0.6667, 0.0000], [0.6667, 0.3333, 0.0000], [0.0702, 0.4192, 0.2110], [0.2783, 0.2783, 0.7890], [0.4192, 0.0702, 0.2110], [0.5808, 0.9298, 0.7890], [0.7217, 0.7217, 0.2110], [0.9298, 0.5808, 0.7890], [0.0352, 0.3937, 0.1057], [0.1323, 0.4658, 0.3969], [0.2012, 0.2012, 0.6031], [0.3232, 0.3232, 0.8944], [0.3937, 0.0352, 0.1057], [0.4658, 0.1323, 0.3969], [0.5342, 0.8677, 0.6031], [0.6063, 0.9648, 0.8943], [0.6768, 0.6768, 0.1056], [0.7988, 0.7988, 0.3969], [0.8677, 0.5342, 0.6031], [0.9648, 0.6063, 0.8943]], "total_magnetization_mub_per_cell": 8.00, "sg": "No. 12"}


Relative energy of each structure, in meV/atom: 1 21; 2 0.


--- 1 ---
{"formula": "HfAl2Pd2", "functional": "PBEsol", "state": "relaxed", "cell": [[7.4478, 0.0000, 0.0000], [0.0000, 7.4478, 0.0000], [0.0000, 0.0000, 2.8392]], "species": ["Hf", "Hf", "Al", "Al", "Al", "Al", "Pd", "Pd", "Pd", "Pd"], "fractional_positions": [[0.0000, 0.0000, 0.0000], [0.5000, 0.5000, 0.0000], [0.1595, 0.3405, 0.5000], [0.3405, 0.8405, 0.5000], [0.6595, 0.1595, 0.5000], [0.8405, 0.6595, 0.5000], [0.1353, 0.6353, 0.0000], [0.3647, 0.1353, 0.0000], [0.6353, 0.8647, 0.0000], [0.8647, 0.3647, 0.0000]], "total_magnetization_mub_per_cell": 0.00, "sg": "No. 127"}


--- 2 ---
{"formula": "HfAl2Pd2", "functional": "PBEsol", "state": "relaxed", "cell": [[7.4926, 0.0000, 0.0000], [0.0000, 7.4926, 0.0000], [0.0000, 0.0000, 2.7782]], "species": ["Hf", "Hf", "Al", "Al", "Al", "Al", "Pd", "Pd", "Pd", "Pd"], "fractional_positions": [[0.0000, 0.0000, 0.0000], [0.5000, 0.5000, 0.0000], [0.1291, 0.3709, 0.0000], [0.3709, 0.8709, 0.0000], [0.6291, 0.1291, 0.0000], [0.8709, 0.6291, 0.0000], [0.1669, 0.6669, 0.5000], [0.3331, 0.1669, 0.5000], [0.6669, 0.8331, 0.5000], [0.8331, 0.3331, 0.5000]], "total_magnetization_mub_per_cell": 0.00, "sg": "No. 127"}


Relative energy of each structure, in meV/atom: 1 0; 2 34.


--- 1 ---
{"formula": "Hf2AlS", "functional": "PBEsol", "state": "relaxed", "cell": [[0.0000, 3.2797, 3.2797], [3.2797, 0.0000, 3.2797], [3.2797, 3.2797, 0.0000]], "species": ["Hf", "Hf", "Al", "S"], "fractional_positions": [[0.2500, 0.2500, 0.2500], [0.7500, 0.7500, 0.7500], [0.0000, 0.0000, 0.0000], [0.5000, 0.5000, 0.5000]], "total_magnetization_mub_per_cell": 0.00, "sg": "No. 225"}


--- 2 ---
{"formula": "Hf2AlS", "functional": "PBEsol", "state": "relaxed", "cell": [[-2.6325, 2.6325, 7.0625], [2.6325, -2.6325, 7.0625], [2.6325, 2.6325, -7.0625]], "species": ["Hf", "Hf", "Hf", "Hf", "Al", "Al", "S", "S"], "fractional_positions": [[0.0714, 0.6250, 0.9464], [0.3750, 0.3214, 0.4464], [0.6786, 0.1250, 0.0536], [0.8750, 0.9286, 0.5536], [0.2500, 0.7500, 0.5000], [0.5000, 0.5000, 0.0000], [0.0000, 0.0000, 0.0000], [0.7500, 0.2500, 0.5000]], "total_magnetization_mub_per_cell": 0.00, "sg": "No. 122"}


Relative energy of each structure, in meV/atom: 1 0; 2 509.